A plane-wave DFT calculation with PBE-GGA was carried out for a geometry-optimized ScPa6S12 structure.

## Properties
* spin magnetization: 9.1 Bohr magnetons per cell
* total energy: -143.278 eV per cell
* SG: R-3

a = 7.8220 Å, b = 7.8220 Å, c = 7.8220 Å
α = 99.82°, β = 99.82°, γ = 99.82°
With the nearest neighbours (Å) after each atom.
Fractional positions:
S  0.5719  0.8220  0.4301  4 Pa 2.73-2.86
S  0.4301  0.5719  0.8220  4 Pa 2.73-2.86
S  0.3201  0.9628  0.0658  1 Sc 2.55, 2 Pa 2.73-2.75
S  0.0658  0.3201  0.9628  1 Sc 2.55, 2 Pa 2.73-2.75
S  0.5699  0.4281  0.1780  4 Pa 2.73-2.86
S  0.0372  0.9342  0.6799  1 Sc 2.55, 2 Pa 2.73-2.75
S  0.9628  0.0658  0.3201  1 Sc 2.55, 2 Pa 2.73-2.75
S  0.1780  0.5699  0.4281  4 Pa 2.73-2.86
S  0.8220  0.4301  0.5719  4 Pa 2.73-2.86
S  0.9342  0.6799  0.0372  1 Sc 2.55, 2 Pa 2.73-2.75
S  0.6799  0.0372  0.9342  1 Sc 2.55, 2 Pa 2.73-2.75
S  0.4281  0.1780  0.5699  4 Pa 2.73-2.86
Pa  0.8672  0.6976  0.3710  7 S 2.73-2.96
Pa  0.1328  0.3024  0.6290  7 S 2.73-2.96
Pa  0.6976  0.3710  0.8672  7 S 2.73-2.96
Pa  0.6290  0.1328  0.3024  7 S 2.73-2.96
Pa  0.3024  0.6290  0.1328  7 S 2.73-2.96
Pa  0.3710  0.8672  0.6976  7 S 2.73-2.96
Sc  0.0000  0.0000  0.0000  6 S 2.55